Entry 1:
The following is a GGA-PBE calculation of an optimized crystal structure of Na2CaCoH6, from the Alexandria database.

Cell and atoms, written as POSCAR:
```
Na2CaCoH6
1.0
5.083 0.000 0.000
-2.541 4.402 0.000
0.000 0.000 5.739
Na Ca Co H
2 1 1 6
direct
0.333 0.667 0.390
0.667 0.333 0.610
0.000 0.000 0.000
0.000 0.000 0.500
0.143 0.286 0.662
0.143 0.857 0.662
0.286 0.143 0.338
0.714 0.857 0.662
0.857 0.143 0.338
0.857 0.714 0.338
```

The total energy comes out at -0.1264 hartree per atom.



Entry 2:
The following is a GGA-PBE calculation of an optimized crystal structure of CaCoNi2H8, from the Alexandria database.

Cell and atoms, written as POSCAR:
```
CaCoNi2H8
1.0
2.188 1.263 5.439
-2.188 1.263 5.439
0.000 -2.527 5.439
Ca Co Ni H
1 1 2 8
direct
0.000 0.000 0.000
0.500 0.500 0.500
0.202 0.202 0.202
0.798 0.798 0.798
0.155 0.796 0.406
0.204 0.594 0.845
0.299 0.299 0.299
0.406 0.155 0.796
0.594 0.845 0.204
0.701 0.701 0.701
0.796 0.406 0.155
0.845 0.204 0.594
```

The total energy comes out at -0.1503 hartree per atom.



Entry 3:
The following is a GGA-PBE calculation of an optimized crystal structure of CaCo2HPb, from the Alexandria database.

Cell and atoms, written as POSCAR:
```
CaCo2HPb
1.0
4.180 0.000 0.000
0.000 4.180 0.000
0.000 0.000 4.529
Ca Co H Pb
1 2 1 1
direct
0.000 0.000 0.000
0.000 0.500 0.500
0.500 0.000 0.500
0.500 0.500 0.500
0.500 0.500 0.000
```

The total energy comes out at -0.1524 hartree per atom.



Entry 4:
The following is a GGA-PBE calculation of an optimized crystal structure of CaCoHPd2, from the Alexandria database.

Cell and atoms, written as POSCAR:
```
CaCoHPd2
1.0
4.177 0.000 0.000
0.000 4.177 0.000
0.000 0.000 3.917
Ca Co H Pd
1 1 1 2
direct
0.000 0.000 0.000
0.500 0.500 0.000
0.500 0.500 0.500
0.000 0.500 0.500
0.500 0.000 0.500
```

The total energy comes out at -0.1737 hartree per atom.



Entry 5:
The following is a GGA-PBE calculation of an optimized crystal structure of Ca2CoH6Pd, from the Alexandria database.

Cell and atoms, written as POSCAR:
```
Ca2CoH6Pd
1.0
-2.533 2.533 3.644
2.533 -2.533 3.644
2.533 2.533 -3.644
Ca Co H Pd
2 1 6 1
direct
0.250 0.750 0.500
0.750 0.250 0.500
0.000 0.000 0.000
0.226 0.226 0.000
0.231 0.231 0.461
0.231 0.769 0.000
0.769 0.231 0.000
0.769 0.769 0.539
0.774 0.774 0.000
0.500 0.500 0.000
```

The total energy comes out at -0.1526 hartree per atom.



Entry 6:
The following is a GGA-PBE calculation of an optimized crystal structure of Ca2CoHPd, from the Alexandria database.

Cell and atoms, written as POSCAR:
```
Ca2CoHPd
1.0
4.952 0.000 0.000
0.000 4.952 0.000
0.000 0.000 3.446
Ca Co H Pd
2 1 1 1
direct
0.000 0.500 0.000
0.500 0.000 0.000
0.000 0.000 0.500
0.000 0.000 0.000
0.500 0.500 0.500
```

The total energy comes out at -0.1543 hartree per atom.



| no. | spin magnetization (μB/f.u.) |
| --- | --- |
| 1 | 0.9 |
| 2 | 0.0 |
| 3 | 2.5 |
| 4 | 1.5 |
| 5 | 0.0 |
| 6 | 0.7 |